DyMgScCr | PBE | relaxed

The value obtained for the volume is 22.7 A^3/atom. The value obtained for the density is 5.2 g/cm³. The electronic total energy is -5.390 eV per atom. Its total magnetization is 3.45 μB/f.u.

Cell lengths 7.1350, 7.1350, 7.1350 Å; angles 90.00, 90.00, 90.00 degrees
Space group F-43m (No. 216)
Unique sites:
Dy1 0.0000 0.0000 0.0000 [4 per cell]
Mg1 0.2500 0.2500 0.2500 [4 per cell]
Sc1 0.0000 0.0000 0.5000 [4 per cell]
Cr1 0.2500 0.2500 0.7500 [4 per cell]